(1)
Computed, not measured: a relaxed Rb3Tb2ScTe6 crystal at the GGA-PBE level of DFT.

CIF file:
```
data_Rb3Tb2ScTe6
_chemical_formula_sum 'Rb3 Tb2 Sc1 Te6'
_symmetry_space_group_name_H-M 'P 1'
_symmetry_Int_Tables_number 1
_cell_length_a 7.756
_cell_length_b 7.756
_cell_length_c 8.916
_cell_angle_alpha 98.35
_cell_angle_beta 98.35
_cell_angle_gamma 120.00
loop_
_symmetry_equiv_pos_as_xyz
'x,y,z'
loop_
_atom_site_label
_atom_site_type_symbol
_atom_site_fract_x
_atom_site_fract_y
_atom_site_fract_z
Rb1 Rb 0.000 0.000 0.000
Rb2 Rb 0.330 0.670 0.000
Rb3 Rb 0.670 0.330 0.000
Tb1 Tb 0.166 0.834 0.500
Tb2 Tb 0.834 0.166 0.500
Sc1 Sc 0.500 0.500 0.500
Te1 Te 0.113 0.435 0.304
Te2 Te 0.245 0.245 0.697
Te3 Te 0.435 0.113 0.304
Te4 Te 0.565 0.887 0.696
Te5 Te 0.755 0.755 0.303
Te6 Te 0.887 0.565 0.696
```

raw formation energy: -128.8 kJ/mol of atoms
total moment: 0.0 μB per formula unit
electronic total energy: -53.4 eV/cell



(2)
Computed, not measured: a relaxed EuPuFe4 crystal at the GGA-PBE level of DFT.

CIF file:
```
data_EuPuFe4
_chemical_formula_sum 'Eu1 Pu1 Fe4'
_symmetry_space_group_name_H-M 'P 1'
_symmetry_Int_Tables_number 1
_cell_length_a 5.107
_cell_length_b 5.107
_cell_length_c 5.107
_cell_angle_alpha 60.00
_cell_angle_beta 60.00
_cell_angle_gamma 60.00
loop_
_symmetry_equiv_pos_as_xyz
'x,y,z'
loop_
_atom_site_label
_atom_site_type_symbol
_atom_site_fract_x
_atom_site_fract_y
_atom_site_fract_z
Eu1 Eu 0.000 0.000 0.000
Pu1 Pu 0.250 0.250 0.250
Fe1 Fe 0.128 0.624 0.624
Fe2 Fe 0.624 0.128 0.624
Fe3 Fe 0.624 0.624 0.128
Fe4 Fe 0.624 0.624 0.624
```

formation enthalpy at 0 K: 0.333 eV/atom
total moment: 17.9 μB per formula unit
electronic total energy: -56.5 eV/cell



(3)
Computed, not measured: a relaxed Sr3TlO crystal at the GGA-PBE level of DFT.

CIF file:
```
data_Sr3TlO
_chemical_formula_sum 'Sr12 Tl4 O4'
_symmetry_space_group_name_H-M 'P 1'
_symmetry_Int_Tables_number 1
_cell_length_a 9.909
_cell_length_b 9.909
_cell_length_c 7.750
_cell_angle_alpha 99.35
_cell_angle_beta 99.35
_cell_angle_gamma 87.54
loop_
_symmetry_equiv_pos_as_xyz
'x,y,z'
loop_
_atom_site_label
_atom_site_type_symbol
_atom_site_fract_x
_atom_site_fract_y
_atom_site_fract_z
Sr1 Sr 0.008 0.246 0.162
Sr2 Sr 0.135 0.607 0.347
Sr3 Sr 0.246 0.008 0.662
Sr4 Sr 0.316 0.376 0.969
Sr5 Sr 0.376 0.316 0.469
Sr6 Sr 0.393 0.865 0.153
Sr7 Sr 0.607 0.135 0.847
Sr8 Sr 0.624 0.684 0.531
Sr9 Sr 0.684 0.624 0.031
Sr10 Sr 0.754 0.992 0.338
Sr11 Sr 0.865 0.393 0.653
Sr12 Sr 0.992 0.754 0.838
Tl1 Tl 0.073 0.927 0.250
Tl2 Tl 0.340 0.660 0.750
Tl3 Tl 0.660 0.340 0.250
Tl4 Tl 0.927 0.073 0.750
O1 O 0.203 0.386 0.231
O2 O 0.386 0.203 0.731
O3 O 0.614 0.797 0.269
O4 O 0.797 0.614 0.769
```

raw formation energy: -116.9 kJ/mol of atoms
total moment: 0.0 μB per formula unit
electronic total energy: -73.7 eV/cell



(4)
Computed, not measured: a relaxed PaSnPd5 crystal at the GGA-PBE level of DFT.

CIF file:
```
data_PaSnPd5
_chemical_formula_sum 'Pa2 Sn2 Pd10'
_symmetry_space_group_name_H-M 'P 1'
_symmetry_Int_Tables_number 1
_cell_length_a 7.304
_cell_length_b 7.384
_cell_length_c 6.902
_cell_angle_alpha 90.00
_cell_angle_beta 90.00
_cell_angle_gamma 90.00
loop_
_symmetry_equiv_pos_as_xyz
'x,y,z'
loop_
_atom_site_label
_atom_site_type_symbol
_atom_site_fract_x
_atom_site_fract_y
_atom_site_fract_z
Pa1 Pa 0.000 0.000 0.000
Pa2 Pa 0.500 0.500 0.500
Sn1 Sn 0.000 0.500 0.494
Sn2 Sn 0.500 0.000 0.994
Pd1 Pd 0.000 0.000 0.362
Pd2 Pd 0.000 0.312 0.142
Pd3 Pd 0.000 0.688 0.142
Pd4 Pd 0.190 0.000 0.695
Pd5 Pd 0.310 0.500 0.195
Pd6 Pd 0.500 0.188 0.642
Pd7 Pd 0.500 0.500 0.862
Pd8 Pd 0.500 0.812 0.642
Pd9 Pd 0.690 0.500 0.195
Pd10 Pd 0.810 0.000 0.695
```

formation enthalpy at 0 K: 0.144 eV/atom
total moment: 0.0 μB per formula unit
electronic total energy: -76.9 eV/cell



(5)
Computed, not measured: a relaxed LiHo2ErS5 crystal at the GGA-PBE level of DFT.

CIF file:
```
data_LiHo2ErS5
_chemical_formula_sum 'Li2 Ho4 Er2 S10'
_symmetry_space_group_name_H-M 'P 1'
_symmetry_Int_Tables_number 1
_cell_length_a 8.273
_cell_length_b 8.273
_cell_length_c 11.738
_cell_angle_alpha 90.00
_cell_angle_beta 90.00
_cell_angle_gamma 152.96
loop_
_symmetry_equiv_pos_as_xyz
'x,y,z'
loop_
_atom_site_label
_atom_site_type_symbol
_atom_site_fract_x
_atom_site_fract_y
_atom_site_fract_z
Li1 Li 0.013 0.987 0.500
Li2 Li 0.987 0.013 0.000
Ho1 Ho 0.376 0.624 0.311
Ho2 Ho 0.393 0.607 0.703
Ho3 Ho 0.607 0.393 0.203
Ho4 Ho 0.624 0.376 0.811
Er1 Er 0.303 0.697 0.020
Er2 Er 0.697 0.303 0.520
S1 S 0.000 0.000 0.303
S2 S 0.000 0.000 0.803
S3 S 0.137 0.863 0.020
S4 S 0.192 0.808 0.360
S5 S 0.214 0.786 0.682
S6 S 0.454 0.546 0.094
S7 S 0.546 0.454 0.594
S8 S 0.786 0.214 0.182
S9 S 0.808 0.192 0.860
S10 S 0.863 0.137 0.520
```

raw formation energy: -180.3 kJ/mol of atoms
total moment: 0.0 μB per formula unit
electronic total energy: -106.2 eV/cell



(6)
Computed, not measured: a relaxed ZrSb2TeAs crystal at the GGA-PBE level of DFT.

CIF file:
```
data_ZrSb2TeAs
_chemical_formula_sum 'Zr1 Sb2 Te1 As1'
_symmetry_space_group_name_H-M 'P 1'
_symmetry_Int_Tables_number 1
_cell_length_a 5.596
_cell_length_b 5.596
_cell_length_c 5.475
_cell_angle_alpha 90.00
_cell_angle_beta 90.00
_cell_angle_gamma 90.00
loop_
_symmetry_equiv_pos_as_xyz
'x,y,z'
loop_
_atom_site_label
_atom_site_type_symbol
_atom_site_fract_x
_atom_site_fract_y
_atom_site_fract_z
Zr1 Zr 0.000 0.000 0.000
Sb1 Sb 0.000 0.500 0.000
Sb2 Sb 0.500 0.000 0.000
Te1 Te 0.000 0.000 0.500
As1 As 0.500 0.500 0.500
```

raw formation energy: 48.0 kJ/mol of atoms
total moment: 1.4 μB per formula unit
electronic total energy: -22.1 eV/cell



(7)
Computed, not measured: a relaxed Ho4In3Os crystal at the GGA-PBE level of DFT.

CIF file:
```
data_Ho4In3Os
_chemical_formula_sum 'Ho4 In3 Os1'
_symmetry_space_group_name_H-M 'P 1'
_symmetry_Int_Tables_number 1
_cell_length_a 3.515
_cell_length_b 3.515
_cell_length_c 15.846
_cell_angle_alpha 90.00
_cell_angle_beta 90.00
_cell_angle_gamma 90.00
loop_
_symmetry_equiv_pos_as_xyz
'x,y,z'
loop_
_atom_site_label
_atom_site_type_symbol
_atom_site_fract_x
_atom_site_fract_y
_atom_site_fract_z
Ho1 Ho 0.000 0.000 0.102
Ho2 Ho 0.000 0.000 0.368
Ho3 Ho 0.000 0.000 0.632
Ho4 Ho 0.000 0.000 0.898
In1 In 0.500 0.500 0.238
In2 In 0.500 0.500 0.500
In3 In 0.500 0.500 0.762
Os1 Os 0.500 0.500 0.000
```

formation enthalpy at 0 K: -0.425 eV/atom
total moment: 0.0 μB per formula unit
electronic total energy: -41.2 eV/cell



(8)
Computed, not measured: a relaxed TlNiB2Pt crystal at the GGA-PBE level of DFT.

CIF file:
```
data_TlNiB2Pt
_chemical_formula_sum 'Tl1 Ni1 B2 Pt1'
_symmetry_space_group_name_H-M 'P 1'
_symmetry_Int_Tables_number 1
_cell_length_a 3.978
_cell_length_b 3.978
_cell_length_c 6.014
_cell_angle_alpha 90.00
_cell_angle_beta 90.00
_cell_angle_gamma 90.00
loop_
_symmetry_equiv_pos_as_xyz
'x,y,z'
loop_
_atom_site_label
_atom_site_type_symbol
_atom_site_fract_x
_atom_site_fract_y
_atom_site_fract_z
Tl1 Tl 0.000 0.000 0.000
Ni1 Ni 0.500 0.500 0.000
B1 B 0.000 0.500 0.500
B2 B 0.500 0.000 0.500
Pt1 Pt 0.000 0.000 0.500
```

formation enthalpy at 0 K: 0.901 eV/atom
total moment: 0.0 μB per formula unit
electronic total energy: -23.0 eV/cell



(9)
Computed, not measured: a relaxed CsGaCu3 crystal at the GGA-PBE level of DFT.

CIF file:
```
data_CsGaCu3
_chemical_formula_sum 'Cs1 Ga1 Cu3'
_symmetry_space_group_name_H-M 'P 1'
_symmetry_Int_Tables_number 1
_cell_length_a 5.634
_cell_length_b 5.634
_cell_length_c 5.634
_cell_angle_alpha 90.00
_cell_angle_beta 90.00
_cell_angle_gamma 90.00
loop_
_symmetry_equiv_pos_as_xyz
'x,y,z'
loop_
_atom_site_label
_atom_site_type_symbol
_atom_site_fract_x
_atom_site_fract_y
_atom_site_fract_z
Cs1 Cs 0.000 0.000 0.000
Ga1 Ga 0.500 0.500 0.500
Cu1 Cu 0.000 0.000 0.500
Cu2 Cu 0.000 0.500 0.000
Cu3 Cu 0.500 0.000 0.000
```

formation enthalpy at 0 K: 1.707 eV/atom
total moment: 0.0 μB per formula unit
electronic total energy: -7.6 eV/cell



(10)
Computed, not measured: a relaxed Pm6Al2Si crystal at the GGA-PBE level of DFT.

CIF file:
```
data_Pm6Al2Si
_chemical_formula_sum 'Pm6 Al2 Si1'
_symmetry_space_group_name_H-M 'P 1'
_symmetry_Int_Tables_number 1
_cell_length_a 8.442
_cell_length_b 8.442
_cell_length_c 4.133
_cell_angle_alpha 90.00
_cell_angle_beta 90.00
_cell_angle_gamma 120.00
loop_
_symmetry_equiv_pos_as_xyz
'x,y,z'
loop_
_atom_site_label
_atom_site_type_symbol
_atom_site_fract_x
_atom_site_fract_y
_atom_site_fract_z
Pm1 Pm 0.000 0.265 0.000
Pm2 Pm 0.000 0.606 0.500
Pm3 Pm 0.265 0.000 0.000
Pm4 Pm 0.394 0.394 0.500
Pm5 Pm 0.606 0.000 0.500
Pm6 Pm 0.735 0.735 0.000
Al1 Al 0.333 0.667 0.000
Al2 Al 0.667 0.333 0.000
Si1 Si 0.000 0.000 0.500
```

raw formation energy: -29.7 kJ/mol of atoms
total moment: 0.0 μB per formula unit
electronic total energy: -44.2 eV/cell



(11)
Computed, not measured: a relaxed GdPaPt2 crystal at the GGA-PBE level of DFT.

CIF file:
```
data_GdPaPt2
_chemical_formula_sum 'Gd1 Pa1 Pt2'
_symmetry_space_group_name_H-M 'P 1'
_symmetry_Int_Tables_number 1
_cell_length_a 3.525
_cell_length_b 3.525
_cell_length_c 7.144
_cell_angle_alpha 90.00
_cell_angle_beta 90.00
_cell_angle_gamma 90.00
loop_
_symmetry_equiv_pos_as_xyz
'x,y,z'
loop_
_atom_site_label
_atom_site_type_symbol
_atom_site_fract_x
_atom_site_fract_y
_atom_site_fract_z
Gd1 Gd 0.000 0.000 0.000
Pa1 Pa 0.000 0.000 0.500
Pt1 Pt 0.500 0.500 0.270
Pt2 Pt 0.500 0.500 0.730
```

formation enthalpy at 0 K: -0.951 eV/atom
total moment: 7.7 μB per formula unit
electronic total energy: -39.5 eV/cell



(12)
Computed, not measured: a relaxed KRuRh2 crystal at the GGA-PBE level of DFT.

CIF file:
```
data_KRuRh2
_chemical_formula_sum 'K2 Ru2 Rh4'
_symmetry_space_group_name_H-M 'P 1'
_symmetry_Int_Tables_number 1
_cell_length_a 8.632
_cell_length_b 2.713
_cell_length_c 6.934
_cell_angle_alpha 90.00
_cell_angle_beta 94.11
_cell_angle_gamma 90.00
loop_
_symmetry_equiv_pos_as_xyz
'x,y,z'
loop_
_atom_site_label
_atom_site_type_symbol
_atom_site_fract_x
_atom_site_fract_y
_atom_site_fract_z
K1 K 0.000 0.000 0.000
K2 K 0.500 0.500 0.000
Ru1 Ru 0.000 0.500 0.500
Ru2 Ru 0.500 0.000 0.500
Rh1 Rh 0.236 0.000 0.659
Rh2 Rh 0.264 0.500 0.341
Rh3 Rh 0.736 0.500 0.659
Rh4 Rh 0.764 0.000 0.341
```

formation enthalpy at 0 K: 0.593 eV/atom
total moment: 0.0 μB per formula unit
electronic total energy: -45.4 eV/cell



electronic total energy of number 4 (PaSnPd5)?
-76.9 eV/cell